Tb3Th5As8 PBE-GGA relaxed; crystal system = trigonal; symmetry = No. 166; ΔE_f = -23.2 eV per formula unit; Fermi-level density of states = 0.498 states/eV/atom
1.0
-8.0966 -2.3000 0.5498
-2.0460 -8.1743 0.3761
-2.9767 -3.2776 7.1554
Tb Th As
3 5 8
direct
0.5000 0.0000 0.5000
0.0000 0.0000 0.5000
0.0000 0.5000 0.5000
0.5000 0.0000 0.0000
0.5000 0.5000 0.0000
0.0000 0.0000 0.0000
0.0000 0.5000 0.0000
0.5000 0.5000 0.5000
0.2500 0.2500 0.7454
0.2500 0.7547 0.7454
0.7547 0.2500 0.7454
0.7520 0.7520 0.7441
0.7500 0.7500 0.2546
0.7500 0.2453 0.2546
0.2453 0.7500 0.2546
0.2480 0.2480 0.2559